Here is Li4Mn3O7 after structural relaxation from Alexandria. Energies are from GGA+U.

Cell: 5.080 6.002 8.762 Å, 89.13 94.18 102.70°
Each line ends with the local moment (μB).
Sites, in units of the cell vectors:
Li 0.649 0.300 0.786  0.00
Li 0.918 0.852 0.362  0.00
O 0.668 0.534 0.291  0.04
O 0.181 0.652 0.434  -0.08
Mn 0.064 0.627 0.639  3.19
Li 0.500 0.000 0.500  0.00
Mn 0.791 0.074 0.073  3.88
Li 0.500 0.500 0.500  0.01
Li 0.787 0.574 0.076  0.00
O 0.068 0.902 0.129  0.00
O 0.672 0.079 0.288  -0.07
Li 0.082 0.148 0.638  0.00
O 0.819 0.348 0.566  -0.08
O 0.490 0.758 0.987  0.01
Li 0.213 0.426 0.924  0.00
Mn 0.936 0.373 0.361  3.19
O 0.332 0.466 0.709  0.04
O 0.932 0.098 0.871  0.00
Li 0.351 0.700 0.214  0.00
O 0.510 0.242 0.013  0.01
O 0.328 0.921 0.712  -0.07
Mn 0.632 0.771 0.780  3.85
O 0.915 0.604 0.840  0.00
Mn 0.368 0.229 0.220  3.85
Mn 0.209 0.926 0.927  3.88
O 0.085 0.396 0.160  0.00
O 0.209 0.188 0.414  -0.05
O 0.791 0.812 0.586  -0.05

Results
Its space group is P-1, No. 2. Its raw total energy is -179.4 eV/cell. The calculation puts the total magnetic moment at 11.000 μB/f.u. Its density is 3.892 g/cm³.